# 1
Tl3Bi5O12 | PBE-GGA | optimized geometry

Summary:
ρ = 7.895 g/cm3
uncorrected formation energy = -781 meV per atom
total magnetization = 0.0000 μB per atom

Structure (CIF):
```
data_Tl3Bi5O12
_chemical_formula_sum 'Tl24 Bi40 O96'
_cell_length_a 14.6014
_cell_length_b 14.6014
_cell_length_c 14.6014
_cell_angle_alpha 90.00
_cell_angle_beta 90.00
_cell_angle_gamma 90.00
_space_group_name_H-M_alt 'I a -3 d'
_space_group_IT_number 230
_space_group_name_Hall '-I 4bd 2c 3'
loop_
_atom_site_label
_atom_site_type_symbol
_atom_site_fract_x
_atom_site_fract_y
_atom_site_fract_z
Tl1 Tl 0.0000 0.2500 0.1250
Bi1 Bi 0.0000 0.0000 0.0000
Bi2 Bi 0.0000 0.2500 0.3750
O1 O 0.0355 0.0450 0.6486
```


# 2
LiCd4Hg4 | PBE-GGA | optimized geometry

Summary:
ρ = 10.175 g/cm3
total magnetization = 0.0000 μB per atom
DFT formation energy = -65 meV per atom

Structure (CIF):
```
data_LiCd4Hg4
_chemical_formula_sum 'Li2 Cd8 Hg8'
_cell_length_a 10.9677
_cell_length_b 10.9677
_cell_length_c 3.4159
_cell_angle_alpha 90.00
_cell_angle_beta 90.00
_cell_angle_gamma 90.00
_space_group_name_H-M_alt 'I 4/m'
_space_group_IT_number 87
_space_group_name_Hall '-I 4'
loop_
_atom_site_label
_atom_site_type_symbol
_atom_site_fract_x
_atom_site_fract_y
_atom_site_fract_z
Li1 Li 0.0000 0.0000 0.0000
Cd1 Cd 0.0407 0.3364 0.0000
Hg1 Hg 0.1377 0.8298 0.5000
```


# 3
MgSbPt | PBE-GGA | optimized geometry

Summary:
ρ = 8.847 g/cm3
uncorrected formation energy = -720 meV per atom
total magnetization = 0.0000 μB per atom

Structure (CIF):
```
data_MgSbPt
_chemical_formula_sum 'Mg4 Sb4 Pt4'
_cell_length_a 6.3507
_cell_length_b 6.3507
_cell_length_c 6.3507
_cell_angle_alpha 90.00
_cell_angle_beta 90.00
_cell_angle_gamma 90.00
_space_group_name_H-M_alt 'F -4 3 m'
_space_group_IT_number 216
_space_group_name_Hall 'F -4 2 3'
loop_
_atom_site_label
_atom_site_type_symbol
_atom_site_fract_x
_atom_site_fract_y
_atom_site_fract_z
Mg1 Mg 0.0000 0.0000 0.0000
Sb1 Sb 0.0000 0.0000 0.5000
Pt1 Pt 0.2500 0.2500 0.2500
```


# 4
Pd12Se | PBE-GGA | optimized geometry

Summary:
ρ = 10.852 g/cm3
uncorrected formation energy = 89 meV per atom
total magnetization = 0.0000 μB per atom

Structure (CIF):
```
data_Pd12Se
_chemical_formula_sum 'Pd24 Se2'
_cell_length_a 7.4588
_cell_length_b 7.4588
_cell_length_c 7.4588
_cell_angle_alpha 90.00
_cell_angle_beta 90.00
_cell_angle_gamma 90.00
_space_group_name_H-M_alt 'I m -3'
_space_group_IT_number 204
_space_group_name_Hall '-I 2 2 3'
loop_
_atom_site_label
_atom_site_type_symbol
_atom_site_fract_x
_atom_site_fract_y
_atom_site_fract_z
Pd1 Pd 0.0000 0.1829 0.3130
Se1 Se 0.0000 0.0000 0.0000
```


# 5
KSnSeN2 | PBE-GGA | optimized geometry

Summary:
ρ = 3.076 g/cm3
uncorrected formation energy = 1826 meV per atom
total magnetization = 1.0001 μB per atom

Structure (CIF):
```
data_KSnSeN2
_chemical_formula_sum 'K1 Sn1 Se1 N2'
_cell_length_a 4.8040
_cell_length_b 4.8040
_cell_length_c 6.1944
_cell_angle_alpha 90.00
_cell_angle_beta 90.00
_cell_angle_gamma 90.00
_space_group_name_H-M_alt 'P 4/m m m'
_space_group_IT_number 123
_space_group_name_Hall '-P 4 2'
loop_
_atom_site_label
_atom_site_type_symbol
_atom_site_fract_x
_atom_site_fract_y
_atom_site_fract_z
K1 K 0.0000 0.0000 0.0000
Sn1 Sn 0.5000 0.5000 0.5000
Se1 Se 0.0000 0.0000 0.5000
N1 N 0.0000 0.5000 0.0000
```


# 6
CoOsCl2 | PBE-GGA | optimized geometry

Summary:
ρ = 7.305 g/cm3
uncorrected formation energy = 999 meV per atom
total magnetization = 0.6265 μB per atom

Structure (CIF):
```
data_CoOsCl2
_chemical_formula_sum 'Co4 Os4 Cl8'
_cell_length_a 5.3682
_cell_length_b 5.3682
_cell_length_c 10.0986
_cell_angle_alpha 90.00
_cell_angle_beta 90.00
_cell_angle_gamma 90.00
_space_group_name_H-M_alt 'I -4 2 d'
_space_group_IT_number 122
_space_group_name_Hall 'I -4 2bw'
loop_
_atom_site_label
_atom_site_type_symbol
_atom_site_fract_x
_atom_site_fract_y
_atom_site_fract_z
Co1 Co 0.0000 0.0000 0.0000
Os1 Os 0.0000 0.0000 0.5000
Cl1 Cl 0.2342 0.2500 0.1250
```


# 7
La2PtC | PBE-GGA | optimized geometry

Summary:
ρ = 7.940 g/cm3
total magnetization = 0.0000 μB per atom
DFT formation energy = -323 meV per atom

Structure (CIF):
```
data_La2PtC
_chemical_formula_sum 'La8 Pt4 C4'
_cell_length_a 7.0618
_cell_length_b 7.0618
_cell_length_c 8.1344
_cell_angle_alpha 90.00
_cell_angle_beta 90.00
_cell_angle_gamma 90.00
_space_group_name_H-M_alt 'I -4 2 d'
_space_group_IT_number 122
_space_group_name_Hall 'I -4 2bw'
loop_
_atom_site_label
_atom_site_type_symbol
_atom_site_fract_x
_atom_site_fract_y
_atom_site_fract_z
La1 La 0.1955 0.2500 0.1250
Pt1 Pt 0.0000 0.0000 0.5000
C1 C 0.0000 0.0000 0.0000
```


# 8
Tb5Nd12Tm2 | PBE-GGA | optimized geometry

Summary:
ρ = 7.257 g/cm3
total magnetization = 0.0000 μB per atom
DFT formation energy = 128 meV per atom

Structure (CIF):
```
data_Tb5Nd12Tm2
_chemical_formula_sum 'Tb10 Nd24 Tm4'
_cell_length_a 15.2406
_cell_length_b 10.6612
_cell_length_c 8.0835
_cell_angle_alpha 90.00
_cell_angle_beta 93.91
_cell_angle_gamma 90.00
_space_group_name_H-M_alt 'C 1 2/m 1'
_space_group_IT_number 12
loop_
_space_group_symop_operation_xyz
'x,y,z'
'-x,-y,-z'
'-x,y,-z'
'x,-y,z'
'x+1/2,y+1/2,z'
'-x+1/2,-y+1/2,-z'
'-x+1/2,y+1/2,-z'
'x+1/2,-y+1/2,z'
loop_
_atom_site_label
_atom_site_type_symbol
_atom_site_fract_x
_atom_site_fract_y
_atom_site_fract_z
Tb1 Tb 0.0000 0.0000 0.0000
Tb2 Tb 0.1564 0.5000 0.5938
Tb3 Tb 0.2415 0.0000 0.9854
Nd1 Nd 0.0543 0.5000 0.2113
Nd2 Nd 0.1064 0.2731 0.8849
Nd3 Nd 0.1299 0.0000 0.6033
Nd4 Nd 0.1849 0.2257 0.2923
Tm1 Tm 0.0000 0.2708 0.5000
```